## Mn2PW (PBE)

Data for a relaxed structure of Mn2PW.

**Total energy**: -9.1778 eV per atom
**SG**: I-4m2
**N(E_F)**: 0.6553 states/eV/atom
**E_form**: -2 meV/atom

```
Mn2PW
1.0
4.581 -0.150 0.000
1.862 4.188 0.000
-3.221 -2.019 2.560
W P Mn
1 1 2
direct
0.750 0.250 0.500 W
0.500 0.500 0.000 P
0.250 0.750 0.500 Mn
0.000 0.000 0.000 Mn
```